The following is a DFT calculation (SCAN) of a PBEsol-optimized structure of Cs3DyCl6.

Computed properties:
The value obtained for the density of states at the Fermi level is 0.000 states/eV per atom. Its magnetization is 0.0 μB/cell. The energy relative to the elements, uncorrected comes out at -2355 meV/atom.

abc: 11.6103 11.6103 11.6103
angles: 90.00 90.00 90.00
Space group Fm-3m (No. 225)
Symmetry-distinct sites (fractional):
Cs 0.0000 0.0000 0.0000 (multiplicity 4)
Cs 0.2500 0.2500 0.2500 (multiplicity 8)
Dy 0.0000 0.0000 0.5000 (multiplicity 4)
Cl 0.0000 0.0000 0.2758 (multiplicity 24)



The following is a DFT calculation (SCAN) of a PBEsol-optimized structure of DySn3.

Computed properties:
The value obtained for the density of states at the Fermi level is 0.510 states/eV per atom. Its magnetization is 0.0 μB/cell. As for the formation energy from the elements: -455 meV per atom.

abc: 4.6260 4.6260 4.6260
angles: 90.00 90.00 90.00
Space group Pm-3m (No. 221)
Symmetry-distinct sites (fractional):
Dy 0.0000 0.0000 0.0000 (multiplicity 1)
Sn 0.0000 0.5000 0.5000 (multiplicity 3)



The following is a DFT calculation (SCAN) of a PBEsol-optimized structure of TaCrFe2.

Computed properties:
The value obtained for the density of states at the Fermi level is 0.683 states/eV per atom. Its magnetization is 7.1 μB/cell. As for the formation energy from the elements: 166 meV per atom.

abc: 3.1023 4.1298 7.8235
angles: 90.00 90.00 90.00
Space group Cmmm (No. 65)
Symmetry-distinct sites (fractional):
Ta 0.0000 0.0000 0.0000 (multiplicity 2)
Cr 0.0000 0.0000 0.5000 (multiplicity 2)
Fe 0.0000 0.5000 0.2708 (multiplicity 4)



The following is a DFT calculation (SCAN) of a PBEsol-optimized structure of CaRuPt2.

Computed properties:
The value obtained for the density of states at the Fermi level is 0.926 states/eV per atom. Its magnetization is 1.4 μB/cell. As for the formation energy from the elements: -22 meV per atom. As for the energy above the most stable polymorph in this dataset: 300 meV/atom.

abc: 3.2963 3.2963 6.3927
angles: 90.00 90.00 90.00
Space group P4mm (No. 99)
Symmetry-distinct sites (fractional):
Ca 0.0000 0.0000 0.0000 (multiplicity 1)
Ru 0.5000 0.5000 0.6910 (multiplicity 1)
Pt 0.0000 0.0000 0.5108 (multiplicity 1)
Pt 0.5000 0.5000 0.2758 (multiplicity 1)



The following is a DFT calculation (SCAN) of a PBEsol-optimized structure of TlZn2Os.

Computed properties:
The value obtained for the density of states at the Fermi level is 0.599 states/eV per atom. Its magnetization is 0.0 μB/cell. As for the formation energy from the elements: 493 meV per atom.

abc: 3.8664 3.8664 8.4404
angles: 90.00 90.00 90.00
Space group I4/mmm (No. 139)
Symmetry-distinct sites (fractional):
Tl 0.0000 0.0000 0.0000 (multiplicity 2)
Zn 0.0000 0.5000 0.2500 (multiplicity 4)
Os 0.0000 0.0000 0.5000 (multiplicity 2)



The following is a DFT calculation (SCAN) of a PBEsol-optimized structure of CoIrPt2.

Computed properties:
The value obtained for the density of states at the Fermi level is 0.700 states/eV per atom. Its magnetization is 5.5 μB/cell. As for the formation energy from the elements: -89 meV per atom. As for the energy above the most stable polymorph in this dataset: 0 meV/atom.

abc: 5.3580 7.6517 2.6947
angles: 90.00 90.00 90.00
Space group Cmmm (No. 65)
Symmetry-distinct sites (fractional):
Co 0.0000 0.0000 0.0000 (multiplicity 2)
Ir 0.0000 0.5000 0.0000 (multiplicity 2)
Pt 0.2500 0.2500 0.5000 (multiplicity 4)